The following is a DFT calculation (GGA+U) of crystalline Sr3MnSb2O9 at its relaxed geometry.

As for the spin magnetization: 4.97 μB/f.u. The uncorrected energy comes out at -97.4 eV per formula unit. The volume comes out at 204.5 Å³/cell.

The structure belongs to space group P-3m1 (No. 164); the cell edges are 5.7664, 5.7664 and 7.1005 Å and the angles 90.00°, 90.00° and 120.00°. Symmetry generates all atoms from Sr at (0.0000, 0.0000, 0.0000), Sr at (0.3333, 0.6667, 0.6514), Mn at (0.0000, 0.0000, 0.5000), Sb at (0.3333, 0.6667, 0.1704), O at (0.0000, 0.5000, 0.0000) and O at (0.1703, 0.3406, 0.3228).